No. 1
# NaNdTiNbO6F | Alexandria via LeMat-Bulk | PBEsol | optimized geometry
data_NaNdTiNbO6F
_chemical_formula_sum 'Na4 Nd4 Ti4 Nb4 O24 F4'
_cell_length_a 7.296
_cell_length_b 7.296
_cell_length_c 10.367
_cell_angle_alpha 90.00
_cell_angle_beta 90.00
_cell_angle_gamma 90.00
_space_group_name_H-M_alt 'P 41 2 2'
_space_group_IT_number 91
loop_
_space_group_symop_operation_xyz
'x,y,z'
'-y,x,z+1/4'
'-x,-y,z+1/2'
'y,-x,z+3/4'
'x,-y,-z+1/2'
'-y,-x,-z+1/4'
'-x,y,-z'
'y,x,-z+3/4'
loop_
_atom_site_label
_atom_site_type_symbol
_atom_site_fract_x
_atom_site_fract_y
_atom_site_fract_z
_atom_site_occupancy
Na1 Na 0.000 0.222 0.000 1
Nd1 Nd 0.230 0.500 0.750 1
Ti1 Ti 0.264 0.500 0.250 1
Nb1 Nb 0.000 0.258 0.500 1
O1 O 0.057 0.448 0.367 1
O2 O 0.061 0.061 0.375 1
O3 O 0.252 0.273 0.572 1
O4 O 0.461 0.461 0.375 1
F1 F 0.241 0.241 0.875 1
# density of states at the Fermi level = 0.000 states/eV/cell
# final energy = -8.347 eV per atom
# relative energy among the computed polymorphs = 0 meV per atom
# formation energy (no corrections) = -2.9709 eV/atom


No. 2
# Y2HfTeI | Alexandria via LeMat-Bulk | PBEsol | optimized geometry
data_Y2HfTeI
_chemical_formula_sum 'Y2 Hf1 Te1 I1'
_cell_length_a 5.665
_cell_length_b 5.665
_cell_length_c 5.208
_cell_angle_alpha 90.00
_cell_angle_beta 90.00
_cell_angle_gamma 90.00
_space_group_name_H-M_alt 'P 4/m m m'
_space_group_IT_number 123
_space_group_name_Hall '-P 4 2'
loop_
_atom_site_label
_atom_site_type_symbol
_atom_site_fract_x
_atom_site_fract_y
_atom_site_fract_z
_atom_site_occupancy
Y1 Y 0.000 0.500 0.000 1
Hf1 Hf 0.000 0.000 0.500 1
Te1 Te 0.000 0.000 0.000 1
I1 I 0.500 0.500 0.500 1
# density of states at the Fermi level = 9.452 states/eV/cell
# final energy = -5.599 eV per atom
# formation energy (no corrections) = 0.2890 eV/atom


No. 3
# FeSnTe2N | Alexandria via LeMat-Bulk | PBEsol | optimized geometry
data_FeSnTe2N
_chemical_formula_sum 'Fe1 Sn1 Te2 N1'
_cell_length_a 5.730
_cell_length_b 5.730
_cell_length_c 3.831
_cell_angle_alpha 90.00
_cell_angle_beta 90.00
_cell_angle_gamma 90.00
_space_group_name_H-M_alt 'P 4/m m m'
_space_group_IT_number 123
_space_group_name_Hall '-P 4 2'
loop_
_atom_site_label
_atom_site_type_symbol
_atom_site_fract_x
_atom_site_fract_y
_atom_site_fract_z
_atom_site_occupancy
Fe1 Fe 0.000 0.000 0.000 1
Sn1 Sn 0.500 0.500 0.500 1
Te1 Te 0.000 0.500 0.500 1
N1 N 0.500 0.500 0.000 1
# density of states at the Fermi level = 5.714 states/eV/cell
# final energy = -4.526 eV per atom
# formation energy (no corrections) = 1.2342 eV/atom


No. 4
# CeOsRu | Alexandria via LeMat-Bulk | PBEsol | optimized geometry
data_CeOsRu
_chemical_formula_sum 'Ce4 Os4 Ru4'
_cell_length_a 5.056
_cell_length_b 5.421
_cell_length_c 7.701
_cell_angle_alpha 90.00
_cell_angle_beta 90.00
_cell_angle_gamma 90.00
_space_group_name_H-M_alt 'I m m a'
_space_group_IT_number 74
_space_group_name_Hall '-I 2b 2'
loop_
_atom_site_label
_atom_site_type_symbol
_atom_site_fract_x
_atom_site_fract_y
_atom_site_fract_z
_atom_site_occupancy
Ce1 Ce 0.000 0.250 0.127 1
Os1 Os 0.250 0.250 0.750 1
Ru1 Ru 0.000 0.000 0.500 1
# density of states at the Fermi level = 12.952 states/eV/cell
# final energy = -9.867 eV per atom
# energy of formation = -206 meV/atom